Version a
# LiCdOs

A geometry-optimized LiCdOs structure (PBE, the Alexandria database).

Unit cell a=2.7763 b=2.7763 c=7.1864 alpha=90.00 beta=90.00 gamma=120.00
Space group P3m1 (No. 156)
Unique sites:
Li 0.0000 0.0000 0.0000 (multiplicity 1)
Cd 0.6667 0.3333 0.6500 (multiplicity 1)
Os 0.3333 0.6667 0.2999 (multiplicity 1)

* crystal system: trigonal

Version b
# LiCdOs

A geometry-optimized LiCdOs structure (PBE, the Alexandria database).

Unit cell a=2.597 b=4.420 c=8.402 alpha=90.00 beta=90.00 gamma=90.00
Space group Imm2 (No. 44)
Unique sites:
Li 0.000 0.000 0.000 (multiplicity 2)
Cd 0.000 0.000 0.329 (multiplicity 2)
Os 0.000 0.000 0.664 (multiplicity 2)

* crystal system: orthorhombic

Relative energies with respect to the most stable structure, expressed in meV/atom: version a 0; version b 102.

Version a
# LiCdOs

A geometry-optimized LiCdOs structure (PBE, the Alexandria database).

Unit cell a=2.691 b=2.691 c=13.472 alpha=90.00 beta=90.00 gamma=90.00
Space group I4mm (No. 107)
Unique sites:
Li 0.000 0.000 0.000 (multiplicity 2)
Cd 0.000 0.000 0.677 (multiplicity 2)
Os 0.000 0.000 0.351 (multiplicity 2)

* crystal system: tetragonal

Version b
# LiCdOs

A geometry-optimized LiCdOs structure (PBE, the Alexandria database).

Unit cell a=2.907 b=4.608 c=14.367 alpha=90.00 beta=90.00 gamma=90.00
Space group Fmm2 (No. 42)
Unique sites:
Li 0.000 0.000 0.000 (multiplicity 4)
Cd 0.000 0.000 0.674 (multiplicity 4)
Os 0.000 0.000 0.350 (multiplicity 4)

* crystal system: orthorhombic

Relative energies with respect to the most stable structure, expressed in meV/atom: version a 98; version b 0.

Version a
# Li3CdP

A geometry-optimized Li3CdP structure (PBE, the Alexandria database).

Unit cell a=4.780 b=4.780 c=4.780 alpha=90.00 beta=90.00 gamma=90.00
Space group Pm-3m (No. 221)
Unique sites:
Li 0.000 0.000 0.500 (multiplicity 3)
Cd 0.000 0.000 0.000 (multiplicity 1)
P 0.500 0.500 0.500 (multiplicity 1)

* crystal system: cubic

Version b
# Li3CdP

A geometry-optimized Li3CdP structure (PBE, the Alexandria database).

Unit cell a=4.759 b=4.759 c=4.759 alpha=90.00 beta=90.00 gamma=90.00
Space group Pm-3m (No. 221)
Unique sites:
Li 0.000 0.000 0.500 (multiplicity 3)
Cd 0.500 0.500 0.500 (multiplicity 1)
P 0.000 0.000 0.000 (multiplicity 1)

* crystal system: cubic

Relative energies with respect to the most stable structure, expressed in meV/atom: version a 696; version b 0.

Version a
# Li2Cd2P

A geometry-optimized Li2Cd2P structure (PBE, the Alexandria database).

Unit cell a=3.673 b=3.673 c=14.466 alpha=90.00 beta=90.00 gamma=90.00
Space group I4/mmm (No. 139)
Unique sites:
Li 0.000 0.500 0.250 (multiplicity 4)
Cd 0.000 0.000 0.102 (multiplicity 4)
P 0.000 0.000 0.500 (multiplicity 2)

* crystal system: tetragonal

Version b
# Li2Cd2P

A geometry-optimized Li2Cd2P structure (PBE, the Alexandria database).

Unit cell a=6.326 b=6.326 c=4.541 alpha=90.00 beta=90.00 gamma=90.00
Space group P4/mbm (No. 127)
Unique sites:
Li 0.152 0.348 0.000 (multiplicity 4)
Cd 0.164 0.664 0.500 (multiplicity 4)
P 0.000 0.000 0.000 (multiplicity 2)

* crystal system: tetragonal

Version c
# Li2Cd2P

A geometry-optimized Li2Cd2P structure (PBE, the Alexandria database).

Unit cell a=6.870 b=6.870 c=4.326 alpha=90.00 beta=90.00 gamma=90.00
Space group P4/mbm (No. 127)
Unique sites:
Li 0.164 0.336 0.000 (multiplicity 4)
Cd 0.141 0.641 0.500 (multiplicity 4)
P 0.000 0.000 0.500 (multiplicity 2)

* crystal system: tetragonal

Relative energies with respect to the most stable structure, expressed in meV/atom: version a 243; version b 0; version c 59.

Version a
# LiCdP2S

A geometry-optimized LiCdP2S structure (PBE, the Alexandria database).

Unit cell a=4.376 b=4.376 c=4.754 alpha=90.00 beta=90.00 gamma=90.00
Space group P4/mmm (No. 123)
Unique sites:
Li 0.000 0.000 0.000 (multiplicity 1)
Cd 0.500 0.500 0.500 (multiplicity 1)
P 0.000 0.500 0.000 (multiplicity 2)
S 0.000 0.000 0.500 (multiplicity 1)

* crystal system: tetragonal

Version b
# LiCdP2S

A geometry-optimized LiCdP2S structure (PBE, the Alexandria database).

Unit cell a=4.991 b=4.991 c=5.201 alpha=90.00 beta=90.00 gamma=90.00
Space group P4/mmm (No. 123)
Unique sites:
Li 0.000 0.000 0.000 (multiplicity 1)
Cd 0.500 0.500 0.500 (multiplicity 1)
P 0.000 0.500 0.500 (multiplicity 2)
S 0.500 0.500 0.000 (multiplicity 1)

* crystal system: tetragonal

Relative energies with respect to the most stable structure, expressed in meV/atom: version a 0; version b 164.

Version a
# LiCdPS2

A geometry-optimized LiCdPS2 structure (PBE, the Alexandria database).

Unit cell a=5.119 b=5.119 c=4.970 alpha=90.00 beta=90.00 gamma=90.00
Space group P4/mmm (No. 123)
Unique sites:
Li 0.000 0.000 0.000 (multiplicity 1)
Cd 0.500 0.500 0.500 (multiplicity 1)
P 0.500 0.500 0.000 (multiplicity 1)
S 0.000 0.500 0.500 (multiplicity 2)

* crystal system: tetragonal

Version b
# LiCdPS2

A geometry-optimized LiCdPS2 structure (PBE, the Alexandria database).

Unit cell a=4.635 b=4.635 c=4.292 alpha=90.00 beta=90.00 gamma=90.00
Space group P4/mmm (No. 123)
Unique sites:
Li 0.000 0.000 0.000 (multiplicity 1)
Cd 0.500 0.500 0.500 (multiplicity 1)
P 0.000 0.000 0.500 (multiplicity 1)
S 0.000 0.500 0.000 (multiplicity 2)

* crystal system: tetragonal

Relative energies with respect to the most stable structure, expressed in meV/atom: version a 73; version b 0.

Version a
# LiPaCd2

A geometry-optimized LiPaCd2 structure (PBE, the Alexandria database).

Unit cell a=3.0435 b=3.0435 c=34.3358 alpha=90.00 beta=90.00 gamma=120.00
Space group R-3m (No. 166, hexagonal axes)
Unique sites:
Li 0.0000 0.0000 0.0000 (multiplicity 3)
Pa 0.0000 0.0000 0.5000 (multiplicity 3)
Cd 0.0000 0.0000 0.4032 (multiplicity 6)

* crystal system: trigonal

Version b
# LiPaCd2

A geometry-optimized LiPaCd2 structure (PBE, the Alexandria database).

Unit cell a=3.095 b=3.095 c=8.710 alpha=90.00 beta=90.00 gamma=90.00
Space group P4/mmm (No. 123)
Unique sites:
Li 0.000 0.000 0.000 (multiplicity 1)
Pa 0.000 0.000 0.500 (multiplicity 1)
Cd 0.500 0.500 0.211 (multiplicity 2)

* crystal system: tetragonal

Relative energies with respect to the most stable structure, expressed in meV/atom: version a 206; version b 0.

Version a
# LiCdPb

A geometry-optimized LiCdPb structure (PBE, the Alexandria database).

Unit cell a=10.281 b=4.624 c=6.325 alpha=90.00 beta=109.27 gamma=90.00
Space group Cm (No. 8)
Unique sites:
Li 0.000 0.000 0.000 (multiplicity 2)
Li 0.170 0.500 0.375 (multiplicity 2)
Cd 0.360 0.000 0.180 (multiplicity 2)
Cd 0.494 0.500 0.478 (multiplicity 2)
Pb 0.169 0.500 0.885 (multiplicity 2)
Pb 0.328 0.000 0.661 (multiplicity 2)

* crystal system: monoclinic

Version b
# LiCdPb

A geometry-optimized LiCdPb structure (PBE, the Alexandria database).

Unit cell a=4.8130 b=4.8130 c=3.5770 alpha=90.00 beta=90.00 gamma=120.00
Space group P3m1 (No. 156)
Unique sites:
Li 0.0000 0.0000 0.0000 (multiplicity 1)
Cd 0.3333 0.6667 0.8549 (multiplicity 1)
Pb 0.6667 0.3333 0.4225 (multiplicity 1)

* crystal system: trigonal

Relative energies with respect to the most stable structure, expressed in meV/atom: version a 0; version b 41.

Version a
# LiCdPb

A geometry-optimized LiCdPb structure (PBE, the Alexandria database).

Unit cell a=3.375 b=4.410 c=9.547 alpha=90.00 beta=90.00 gamma=90.00
Space group Imm2 (No. 44)
Unique sites:
Li 0.000 0.000 0.000 (multiplicity 2)
Cd 0.000 0.000 0.344 (multiplicity 2)
Pb 0.000 0.000 0.669 (multiplicity 2)

* crystal system: orthorhombic

Version b
# LiCdPb

A geometry-optimized LiCdPb structure (PBE, the Alexandria database).

Unit cell a=4.725 b=4.839 c=6.659 alpha=90.00 beta=110.73 gamma=90.00
Space group P2_1/m (No. 11)
Unique sites:
Li 0.077 0.250 0.158 (multiplicity 2)
Cd 0.429 0.250 0.864 (multiplicity 2)
Pb 0.245 0.750 0.490 (multiplicity 2)

* crystal system: monoclinic

Version c
# LiCdPb

A geometry-optimized LiCdPb structure (PBE, the Alexandria database).

Unit cell a=3.571 b=3.571 c=10.928 alpha=90.00 beta=90.00 gamma=90.00
Space group I4mm (No. 107)
Unique sites:
Li 0.000 0.000 0.000 (multiplicity 2)
Cd 0.000 0.000 0.362 (multiplicity 2)
Pb 0.000 0.000 0.668 (multiplicity 2)

* crystal system: tetragonal

Relative energies with respect to the most stable structure, expressed in meV/atom: version a 30; version b 12; version c 0.

Version a
# Li2Cd3Pb

A geometry-optimized Li2Cd3Pb structure (PBE, the Alexandria database).

Unit cell a=9.779 b=9.047 c=8.011 alpha=90.00 beta=127.43 gamma=90.00
Space group C2/c (No. 15)
Unique sites:
Li 0.248 0.122 0.255 (multiplicity 8)
Cd 0.000 0.070 0.750 (multiplicity 4)
Cd 0.126 0.374 0.983 (multiplicity 8)
Pb 0.000 0.311 0.250 (multiplicity 4)

* crystal system: monoclinic

Version b
# Li2Cd3Pb

A geometry-optimized Li2Cd3Pb structure (PBE, the Alexandria database).

Unit cell a=13.096 b=4.470 c=9.742 alpha=90.00 beta=114.36 gamma=90.00
Space group C2/m (No. 12)
Unique sites:
Li 0.028 0.000 0.363 (multiplicity 4)
Li 0.205 0.500 0.357 (multiplicity 4)
Cd 0.038 0.500 0.865 (multiplicity 4)
Cd 0.118 0.000 0.129 (multiplicity 4)
Cd 0.210 0.000 0.877 (multiplicity 4)
Pb 0.134 0.500 0.610 (multiplicity 4)

* crystal system: monoclinic

Relative energies with respect to the most stable structure, expressed in meV/atom: version a 77; version b 0.

Version a
# Li4CdPb

A geometry-optimized Li4CdPb structure (PBE, the Alexandria database).

Unit cell a=4.923 b=19.122 c=4.915 alpha=90.00 beta=90.00 gamma=90.00
Space group Imma (No. 74)
Unique sites:
Li 0.000 0.083 0.003 (multiplicity 8)
Li 0.000 0.163 0.507 (multiplicity 8)
Cd 0.000 0.000 0.500 (multiplicity 4)
Pb 0.000 0.250 0.009 (multiplicity 4)

* crystal system: orthorhombic

Version b
# Li4CdPb

A geometry-optimized Li4CdPb structure (PBE, the Alexandria database).

Unit cell a=6.021 b=16.216 c=4.674 alpha=90.00 beta=90.00 gamma=90.00
Space group Cmcm (No. 63)
Unique sites:
Li 0.238 0.042 0.250 (multiplicity 8)
Li 0.248 0.208 0.250 (multiplicity 8)
Cd 0.000 0.382 0.250 (multiplicity 4)
Pb 0.000 0.129 0.750 (multiplicity 4)

* crystal system: orthorhombic

Version c
# Li4CdPb

A geometry-optimized Li4CdPb structure (PBE, the Alexandria database).

Unit cell a=7.759 b=7.759 c=7.759 alpha=90.00 beta=90.00 gamma=90.00
Space group F-43m (No. 216)
Unique sites:
Li 0.125 0.125 0.125 (multiplicity 16)
Cd 0.000 0.000 0.500 (multiplicity 4)
Pb 0.250 0.250 0.750 (multiplicity 4)

* crystal system: cubic

Relative energies with respect to the most stable structure, expressed in meV/atom: version a 9; version b 0; version c 129.

Version a
# Li2CdPb2

A geometry-optimized Li2CdPb2 structure (PBE, the Alexandria database).

Unit cell a=7.622 b=7.622 c=3.922 alpha=90.00 beta=90.00 gamma=90.00
Space group P4/mbm (No. 127)
Unique sites:
Li 0.137 0.363 0.000 (multiplicity 4)
Cd 0.000 0.000 0.000 (multiplicity 2)
Pb 0.165 0.665 0.500 (multiplicity 4)

* crystal system: tetragonal

Version b
# Li2CdPb2

A geometry-optimized Li2CdPb2 structure (PBE, the Alexandria database).

Unit cell a=7.551 b=11.431 c=5.913 alpha=90.00 beta=90.00 gamma=90.00
Space group Ibam (No. 72)
Unique sites:
Li 0.243 0.166 0.000 (multiplicity 8)
Cd 0.000 0.500 0.250 (multiplicity 4)
Pb 0.156 0.093 0.500 (multiplicity 8)

* crystal system: orthorhombic

Relative energies with respect to the most stable structure, expressed in meV/atom: version a 0; version b 60.